Entry 1:
! RbCrPb2Au | the Alexandria database | PBE | optimized geometry; values from VASP
&SYSTEM
  ibrav = 0, nat = 5, ntyp = 4
/
ATOMIC_SPECIES
Pb 207.20 Pb.upf
Cr 52.00 Cr.upf
Au 196.97 Au.upf
Rb 85.47 Rb.upf
CELL_PARAMETERS angstrom
-2.5458 -3.3515 4.5056
5.1075 -1.7393 1.5922
0.4445 4.8112 3.8300
ATOMIC_POSITIONS crystal
Pb 0.0000 0.0000 0.5000
Pb 0.5000 0.0000 0.0000
Cr 0.5000 0.5000 0.5000
Au 0.0000 0.5000 0.0000
Rb 0.0000 0.0000 0.0000
! Crystal system: tetragonal
! Space-group type: P4/mmm (123)
! Energy above the most stable polymorph in this dataset, kJ/mol of atoms: 95.63
! Total magnetization, μB per formula unit: 4.58
! VASP energy, eV per atom: -2.727
! Density of states at the Fermi level, states/eV/cell: 5.9


Entry 2:
! AcGdTl | the Alexandria database | PBE | optimized geometry; values from VASP
&SYSTEM
  ibrav = 0, nat = 3, ntyp = 3
/
ATOMIC_SPECIES
Ac 227.00 Ac.upf
Gd 157.25 Gd.upf
Tl 204.38 Tl.upf
CELL_PARAMETERS angstrom
3.9533 0.0000 0.0000
0.0000 3.9533 0.0000
-1.9766 -1.9766 6.6120
ATOMIC_POSITIONS crystal
Ac 0.9421 0.9421 0.8841
Gd 0.6383 0.6383 0.2766
Tl 0.2696 0.2696 0.5393
! Crystal system: tetragonal
! Space-group type: I4mm (107)
! Energy above the most stable polymorph in this dataset, kJ/mol of atoms: 0.00
! Total magnetization, μB per formula unit: 8.03
! VASP energy, eV per atom: -7.063
! Density of states at the Fermi level, states/eV/cell: 4.4


Entry 3:
! Lu2PbO | the Alexandria database | PBE | optimized geometry; values from VASP
&SYSTEM
  ibrav = 0, nat = 4, ntyp = 3
/
ATOMIC_SPECIES
Pb 207.20 Pb.upf
Lu 174.97 Lu.upf
O 16.00 O.upf
CELL_PARAMETERS angstrom
3.1412 0.0000 0.0000
0.0000 3.1412 0.0000
0.0000 0.0000 7.7950
ATOMIC_POSITIONS crystal
Pb 0.5000 0.5000 0.5000
Lu 0.0000 0.0000 0.8029
Lu 0.0000 0.0000 0.1971
O 0.5000 0.5000 0.0000
! Crystal system: tetragonal
! Space-group type: P4/mmm (123)
! Formation energy from raw total energies, kcal/mol of atoms: -20.99
! Total magnetization, μB per formula unit: 0.00
! VASP energy, eV per atom: -5.337
! Density of states at the Fermi level, states/eV/cell: 3.0


Entry 4:
! Ba12InHg6 | the Alexandria database | PBE | optimized geometry; values from VASP
&SYSTEM
  ibrav = 0, nat = 19, ntyp = 3
/
ATOMIC_SPECIES
Ba 137.33 Ba.upf
In 114.82 In.upf
Hg 200.59 Hg.upf
CELL_PARAMETERS angstrom
-10.3116 0.0984 1.4695
2.1373 -6.1465 -8.1332
4.5250 -4.0170 8.4785
ATOMIC_POSITIONS crystal
Ba 0.8615 0.6283 0.5658
Ba 0.5658 0.8615 0.6283
Ba 0.6283 0.5658 0.8615
Ba 0.1385 0.3717 0.4342
Ba 0.4342 0.1385 0.3717
Ba 0.3717 0.4342 0.1385
Ba 0.0218 0.8569 0.3143
Ba 0.1431 0.6857 0.9782
Ba 0.6857 0.9782 0.1431
Ba 0.9782 0.1431 0.6857
Ba 0.8569 0.3143 0.0218
Ba 0.3143 0.0218 0.8569
In 0.0000 0.0000 0.0000
Hg 0.6944 0.7814 0.3505
Hg 0.6495 0.3056 0.2186
Hg 0.2186 0.6495 0.3056
Hg 0.3056 0.2186 0.6495
Hg 0.3505 0.6944 0.7814
Hg 0.7814 0.3505 0.6944
! Crystal system: trigonal
! Space-group type: R-3 (148)
! Energy above the most stable polymorph in this dataset, kJ/mol of atoms: 4.57
! Total magnetization, μB per formula unit: 0.00
! VASP energy, eV per atom: -1.737
! Density of states at the Fermi level, states/eV/cell: 24.4


Entry 5:
! PaCd11 | the Alexandria database | PBE | optimized geometry; values from VASP
&SYSTEM
  ibrav = 0, nat = 12, ntyp = 2
/
ATOMIC_SPECIES
Pa 231.04 Pa.upf
Cd 112.41 Cd.upf
CELL_PARAMETERS angstrom
3.0096 0.0000 0.0000
0.0000 8.9179 -5.1487
0.0000 0.0000 10.2975
ATOMIC_POSITIONS crystal
Pa 0.0000 0.0000 0.0000
Cd 0.0000 0.5000 0.0000
Cd 0.0000 0.0000 0.5000
Cd 0.0000 0.5000 0.5000
Cd 0.5000 0.1720 0.3441
Cd 0.5000 0.3441 0.1721
Cd 0.5000 0.8280 0.1721
Cd 0.5000 0.1720 0.8279
Cd 0.5000 0.6559 0.8279
Cd 0.5000 0.8280 0.6559
Cd 0.0000 0.6667 0.3333
Cd 0.0000 0.3333 0.6667
! Crystal system: hexagonal
! Space-group type: P6/mmm (191)
! Total magnetization, μB per formula unit: 1.64
! VASP energy, eV per atom: -1.600
! Density of states at the Fermi level, states/eV/cell: 6.5


Entry 6:
! SiWN2 | the Alexandria database | PBE | optimized geometry; values from VASP
&SYSTEM
  ibrav = 0, nat = 8, ntyp = 3
/
ATOMIC_SPECIES
Si 28.09 Si.upf
W 183.84 W.upf
N 14.01 N.upf
CELL_PARAMETERS angstrom
4.6063 0.0000 0.0000
0.0000 4.6063 0.0000
2.3032 2.3032 4.1035
ATOMIC_POSITIONS crystal
Si 0.5000 0.5000 0.0000
Si 0.2500 0.7500 0.5000
W 0.0000 0.0000 0.0000
W 0.7500 0.2500 0.5000
N 0.5549 0.1250 0.2500
N 0.1951 0.6250 0.2500
N 0.3750 0.4451 0.7500
N 0.8750 0.8049 0.7500
! Crystal system: tetragonal
! Space-group type: I-42d (122)
! Formation energy from raw total energies, kcal/mol of atoms: -3.32
! Total magnetization, μB per formula unit: 0.00
! VASP energy, eV per atom: -8.901
! Density of states at the Fermi level, states/eV/cell: 2.9


Entry 7:
! Sn2Hg2Se | the Alexandria database | PBE | optimized geometry; values from VASP
&SYSTEM
  ibrav = 0, nat = 10, ntyp = 3
/
ATOMIC_SPECIES
Hg 200.59 Hg.upf
Se 78.96 Se.upf
Sn 118.71 Sn.upf
CELL_PARAMETERS angstrom
7.7920 0.0000 0.0000
0.0000 7.7920 0.0000
0.0000 0.0000 4.5592
ATOMIC_POSITIONS crystal
Hg 0.1552 0.6552 0.5000
Hg 0.6552 0.8448 0.5000
Hg 0.8448 0.3448 0.5000
Hg 0.3448 0.1552 0.5000
Se 0.0000 0.0000 0.0000
Se 0.5000 0.5000 0.0000
Sn 0.3424 0.8424 0.0000
Sn 0.8424 0.6576 0.0000
Sn 0.6576 0.1576 0.0000
Sn 0.1576 0.3424 0.0000
! Crystal system: tetragonal
! Space-group type: P4/mbm (127)
! Energy above the most stable polymorph in this dataset, kJ/mol of atoms: 0.00
! Formation energy from raw total energies, kcal/mol of atoms: -0.26
! Total magnetization, μB per formula unit: 0.00
! VASP energy, eV per atom: -2.430
! Density of states at the Fermi level, states/eV/cell: 6.4


Entry 8:
! CeSiMo | the Alexandria database | PBE | optimized geometry; values from VASP
&SYSTEM
  ibrav = 0, nat = 12, ntyp = 3
/
ATOMIC_SPECIES
Ce 140.12 Ce.upf
Si 28.09 Si.upf
Mo 95.94 Mo.upf
CELL_PARAMETERS angstrom
-2.8283 -3.2397 0.8781
-0.2970 -1.7093 -7.2630
5.7026 -4.7394 0.8822
ATOMIC_POSITIONS crystal
Ce 0.5000 0.7700 0.5593
Ce 0.0000 0.4407 0.7700
Ce 0.0000 0.5593 0.2300
Ce 0.5000 0.2300 0.4407
Si 0.5000 0.3379 0.0481
Si 0.0000 0.9519 0.3379
Si 0.0000 0.0481 0.6621
Si 0.5000 0.6621 0.9519
Mo 0.5000 0.9266 0.1613
Mo 0.5000 0.0734 0.8387
Mo 0.0000 0.1613 0.0734
Mo 0.0000 0.8387 0.9266
! Crystal system: tetragonal
! Space-group type: P4_2/m (84)
! Formation energy from raw total energies, kcal/mol of atoms: -7.87
! Total magnetization, μB per formula unit: 0.45
! VASP energy, eV per atom: -7.737
! Density of states at the Fermi level, states/eV/cell: 20.3